# 1
Material: CuMo2As
Method: DFT, GGA-PBE
State: relaxed

```
CuMo2As
1.0
2.899 0.000 0.000
-1.449 2.511 0.000
0.000 0.000 25.854
Cu Mo As
3 6 3
Direct
0.000 0.000 0.000
0.333 0.667 0.667
0.667 0.333 0.333
0.000 0.000 0.504
0.000 0.000 0.751
0.333 0.667 0.171
0.333 0.667 0.418
0.667 0.333 0.084
0.667 0.333 0.838
0.000 0.000 0.249
0.333 0.667 0.915
0.667 0.333 0.582
```

Summary:
E = -0.269 Ha/atom
energy of formation = 0.29 eV/atom



# 2
Material: CuMo2As
Method: DFT, GGA-PBE
State: relaxed

```
CuMo2As
1.0
5.446 0.000 0.000
0.000 8.234 0.000
-0.800 0.000 2.669
Cu Mo As
2 4 2
Direct
0.000 0.000 0.000
0.500 0.500 0.000
0.250 0.250 0.500
0.250 0.750 0.500
0.750 0.250 0.500
0.750 0.750 0.500
0.000 0.500 0.000
0.500 0.000 0.000
```

Summary:
E = -0.269 Ha/atom
energy of formation = 0.27 eV/atom



# 3
Material: Cu2MoAs
Method: DFT, GGA-PBE
State: relaxed

```
Cu2MoAs
1.0
5.098 0.000 0.000
0.000 8.462 0.000
0.000 0.000 2.656
Cu Mo As
4 2 2
Direct
0.250 0.250 0.000
0.250 0.750 0.000
0.750 0.250 0.000
0.750 0.750 0.000
0.000 0.000 0.500
0.500 0.500 0.500
0.000 0.500 0.500
0.500 0.000 0.500
```

Summary:
E = -0.210 Ha/atom
energy of formation = 0.19 eV/atom



# 4
Material: CuMo2As
Method: DFT, GGA-PBE
State: relaxed

```
CuMo2As
1.0
3.268 0.000 0.000
0.000 4.435 0.000
0.000 0.000 8.666
Cu Mo As
2 4 2
Direct
0.000 0.000 0.000
0.500 0.500 0.000
0.000 0.000 0.488
0.000 0.500 0.239
0.500 0.000 0.239
0.500 0.500 0.488
0.000 0.500 0.739
0.500 0.000 0.739
```

Summary:
E = -0.270 Ha/atom
energy of formation = 0.25 eV/atom